Model a:
CoNi3O | GGA+U | optimized geometry

Summary:
Space-group type: Pm-3m

a = 4.3404 Å, b = 4.3404 Å, c = 4.3404 Å
α = 90.00°, β = 90.00°, γ = 90.00°
With the nearest neighbours (Å) after each atom.
Positions (direct):
Ni 0.5000 0.0000 0.0000  2 Co 2.17
Ni 0.0000 0.5000 0.0000  2 Co 2.17
Ni 0.0000 0.0000 0.5000  2 Co 2.17
Co 0.0000 0.0000 0.0000  6 Ni 2.17
O 0.5000 0.5000 0.5000  12 Ni 3.07

***

Model b:
CoNi3O | GGA+U | optimized geometry

Summary:
Space-group type: Pm-3m

a = 3.8845 Å, b = 3.8845 Å, c = 3.8845 Å
α = 90.00°, β = 90.00°, γ = 90.00°
With the nearest neighbours (Å) after each atom.
Positions (direct):
Ni 0.0000 0.5000 0.0000  2 O 1.94
Ni 0.0000 0.0000 0.5000  2 O 1.94
Ni 0.5000 0.0000 0.0000  2 O 1.94
O 0.0000 0.0000 0.0000  6 Ni 1.94
Co 0.5000 0.5000 0.5000  12 Ni 2.75

***

The least stable of the structures above is model a, whereas model b is the most stable.